No. 1
DFT (PBE) results for crystalline NaHoGaTe3 at its relaxed geometry. Values from VASP.

The structure in Quantum ESPRESSO input format:
```
&SYSTEM
  ibrav = 0, nat = 12, ntyp = 4
/
ATOMIC_SPECIES
Na 22.99 Na.upf
Ho 164.93 Ho.upf
Ga 69.72 Ga.upf
Te 127.60 Te.upf
CELL_PARAMETERS angstrom
2.297 -7.293 0.000
2.297 7.293 0.000
0.000 0.000 11.486
ATOMIC_POSITIONS angstrom
Na 2.297 3.859 8.614
Na 2.297 -3.859 2.871
Ho 0.000 0.000 0.000
Ho 0.000 0.000 5.743
Ga 2.297 0.291 2.871
Ga 2.297 -0.291 8.614
Te 2.297 6.025 2.871
Te 2.297 2.002 0.691
Te 2.297 2.002 5.052
Te 2.297 -2.002 6.434
Te 2.297 -2.002 10.795
Te 2.297 -6.025 8.614
```

Output
M_tot (Bohr magnetons per cell): 0.0
Calculated volume (Å³ per atom): 32.1
Total energy (eV/atom): -3.886



No. 2
DFT (PBE) results for crystalline LiCuAg at its relaxed geometry. Values from VASP.

The structure in Quantum ESPRESSO input format:
```
&SYSTEM
  ibrav = 0, nat = 3, ntyp = 3
/
ATOMIC_SPECIES
Li 6.94 Li.upf
Cu 63.55 Cu.upf
Ag 107.87 Ag.upf
CELL_PARAMETERS angstrom
0.000 2.958 2.958
2.958 0.000 2.958
2.958 2.958 0.000
ATOMIC_POSITIONS angstrom
Li 0.000 0.000 0.000
Cu 4.437 4.437 4.437
Ag 2.958 2.958 2.958
```

Output
Calculated volume (Å³ per atom): 17.3
Total energy (eV/atom): -2.675



No. 3
DFT (PBE) results for crystalline HfFeAsW at its relaxed geometry. Values from VASP.

The structure in Quantum ESPRESSO input format:
```
&SYSTEM
  ibrav = 0, nat = 4, ntyp = 4
/
ATOMIC_SPECIES
Hf 178.49 Hf.upf
Fe 55.84 Fe.upf
As 74.92 As.upf
W 183.84 W.upf
CELL_PARAMETERS angstrom
0.000 3.130 3.130
3.130 0.000 3.130
3.130 3.130 0.000
ATOMIC_POSITIONS angstrom
Hf 0.000 0.000 0.000
Fe 4.695 4.695 4.695
As 3.130 3.130 3.130
W 1.565 1.565 1.565
```

Output
M_tot (Bohr magnetons per cell): 1.0
Calculated volume (Å³ per atom): 15.3
Total energy (eV/atom): -8.714



No. 4
DFT (PBE) results for crystalline PrGdSc at its relaxed geometry. Values from VASP.

The structure in Quantum ESPRESSO input format:
```
&SYSTEM
  ibrav = 0, nat = 3, ntyp = 3
/
ATOMIC_SPECIES
Pr 140.91 Pr.upf
Gd 157.25 Gd.upf
Sc 44.96 Sc.upf
CELL_PARAMETERS angstrom
0.000 3.762 3.762
3.762 0.000 3.762
3.762 3.762 0.000
ATOMIC_POSITIONS angstrom
Pr 0.000 0.000 0.000
Gd 3.762 3.762 3.762
Sc 5.642 5.642 5.642
```

Output
M_tot (Bohr magnetons per cell): 0.1
Calculated volume (Å³ per atom): 35.5
ΔH_f (0 K) (eV per atom): 0.6609



No. 5
DFT (PBE) results for crystalline Dy2Si2O7 at its relaxed geometry. Values from VASP.

The structure in Quantum ESPRESSO input format:
```
&SYSTEM
  ibrav = 0, nat = 44, ntyp = 3
/
ATOMIC_SPECIES
Dy 162.50 Dy.upf
Si 28.09 Si.upf
O 16.00 O.upf
CELL_PARAMETERS angstrom
6.586 0.000 0.000
-0.195 6.619 0.000
-0.174 -0.949 11.961
ATOMIC_POSITIONS angstrom
Dy 0.260 2.070 1.378
Dy 0.682 0.266 4.288
Dy 1.977 5.381 1.294
Dy 2.315 0.828 7.554
Dy 3.903 4.842 4.407
Dy 4.241 0.289 10.666
Dy 5.535 5.403 7.673
Dy 5.958 3.600 10.583
Si 0.743 3.786 4.559
Si 0.849 0.146 10.572
Si 2.243 4.226 7.132
Si 2.929 3.611 9.882
Si 3.289 2.059 2.079
Si 3.975 1.444 4.829
Si 5.368 5.523 1.389
Si 5.474 1.883 7.402
O 6.549 -0.073 2.202
O -0.225 1.341 10.984
O -0.144 4.328 0.977
O -0.332 5.742 9.759
O 0.123 0.963 6.832
O 0.327 2.466 3.726
O 1.203 5.393 7.482
O 1.561 0.586 0.054
O 1.660 4.885 3.728
O 1.719 3.328 5.839
O 1.659 3.822 10.860
O 2.123 0.630 9.712
O 2.231 3.132 1.480
O 2.458 0.721 2.543
O 2.398 3.071 8.318
O 2.622 0.687 5.322
O 3.595 4.982 6.639
O 3.820 2.598 3.643
O 3.759 4.948 9.418
O 3.987 2.537 10.481
O 4.094 5.039 2.249
O 4.559 1.848 1.101
O 4.498 2.341 6.122
O 4.558 0.784 8.232
O 4.657 5.084 11.907
O 5.015 0.277 4.479
O 5.891 3.204 8.235
O 6.094 4.706 5.129
```

Output
M_tot (Bohr magnetons per cell): 0.0
Calculated volume (Å³ per atom): 11.8
Total energy (eV/atom): -8.190



No. 6
DFT (PBE) results for crystalline SrNiAgTe3 at its relaxed geometry. Values from VASP.

The structure in Quantum ESPRESSO input format:
```
&SYSTEM
  ibrav = 0, nat = 12, ntyp = 4
/
ATOMIC_SPECIES
Sr 87.62 Sr.upf
Ni 58.69 Ni.upf
Ag 107.87 Ag.upf
Te 127.60 Te.upf
CELL_PARAMETERS angstrom
7.838 0.000 0.000
0.000 4.287 0.000
-2.929 0.000 9.274
ATOMIC_POSITIONS angstrom
Sr 0.924 1.072 2.574
Sr 3.985 3.216 6.700
Ni 0.089 3.216 7.841
Ni 4.820 1.072 1.433
Ag -1.129 1.072 5.581
Ag 6.038 3.216 3.693
Te -1.768 1.072 8.354
Te 0.726 3.216 5.194
Te 3.236 3.216 1.132
Te 1.673 1.072 8.142
Te 4.183 1.072 4.079
Te 6.676 3.216 0.920
```

Output
M_tot (Bohr magnetons per cell): 0.0
Calculated volume (Å³ per atom): 26.0
Total energy (eV/atom): -3.766